VASP calculation (PBE-GGA) on a geometry-optimized Nd4SmDy2 structure.

V in Å³/cell: 474.32
Formation energy from the elements in kcal/mol of atoms: 2.8
Offset from the most stable computed form in meV per atom: 60.3

abc: 6.221 6.684 11.807
angles: 90.00 104.96 90.00
Fractional coordinates of all 14 atoms:
Nd: 0.022 0.250 0.357
Nd: 0.150 0.250 0.947
Nd: 0.353 0.506 0.214
Nd: 0.353 0.994 0.214
Nd: 0.647 0.006 0.786
Nd: 0.647 0.494 0.786
Nd: 0.850 0.750 0.053
Nd: 0.978 0.750 0.643
Sm: 0.154 0.250 0.658
Sm: 0.846 0.750 0.342
Dy: 0.290 0.750 0.930
Dy: 0.399 0.750 0.503
Dy: 0.601 0.250 0.497
Dy: 0.710 0.250 0.070

***

VASP calculation (PBE-GGA) on a geometry-optimized NdSm2Dy5 structure.

V in Å³/cell: 523.98
Formation energy from the elements in kcal/mol of atoms: 3.9
Offset from the most stable computed form in meV per atom: 153.4

abc: 9.590 9.590 6.492
angles: 96.77 96.77 62.37
Fractional coordinates of all 16 atoms:
Nd: 0.000 0.500 0.000
Nd: 0.500 0.000 0.500
Sm: 0.170 0.677 0.885
Sm: 0.323 0.830 0.615
Sm: 0.677 0.170 0.385
Sm: 0.830 0.323 0.115
Dy: 0.008 0.189 0.642
Dy: 0.189 0.008 0.142
Dy: 0.214 0.393 0.479
Dy: 0.393 0.214 0.979
Dy: 0.443 0.557 0.250
Dy: 0.557 0.443 0.750
Dy: 0.607 0.786 0.021
Dy: 0.786 0.607 0.521
Dy: 0.811 0.992 0.858
Dy: 0.992 0.811 0.358

***

VASP calculation (PBE-GGA) on a geometry-optimized Nd2Sm12Dy5 structure.

V in Å³/cell: 644.89
Formation energy from the elements in kcal/mol of atoms: 3.0
Offset from the most stable computed form in meV per atom: 3.2

abc: 9.214 9.214 8.707
angles: 91.07 91.07 60.77
Fractional coordinates of all 19 atoms:
Nd: 0.176 0.824 0.000
Nd: 0.824 0.176 0.000
Sm: 0.062 0.062 0.338
Sm: 0.067 0.680 0.336
Sm: 0.166 0.527 0.761
Sm: 0.320 0.933 0.664
Sm: 0.412 0.412 0.118
Sm: 0.473 0.834 0.239
Sm: 0.527 0.166 0.761
Sm: 0.588 0.588 0.882
Sm: 0.680 0.067 0.336
Sm: 0.834 0.473 0.239
Sm: 0.933 0.320 0.664
Sm: 0.938 0.938 0.662
Dy: 0.200 0.200 0.019
Dy: 0.270 0.270 0.429
Dy: 0.500 0.500 0.500
Dy: 0.730 0.730 0.571
Dy: 0.800 0.800 0.981

***

VASP calculation (PBE-GGA) on a geometry-optimized Nd5Sm2Dy12 structure.

V in Å³/cell: 639.78
Formation energy from the elements in kcal/mol of atoms: 5.0
Offset from the most stable computed form in meV per atom: 201.5

abc: 9.986 9.986 9.046
angles: 107.37 107.37 48.64
Fractional coordinates of all 19 atoms:
Nd: 0.000 0.000 0.000
Nd: 0.244 0.244 0.720
Nd: 0.301 0.301 0.309
Nd: 0.699 0.699 0.691
Nd: 0.756 0.756 0.280
Sm: 0.325 0.675 0.500
Sm: 0.675 0.325 0.500
Dy: 0.051 0.051 0.674
Dy: 0.063 0.662 0.642
Dy: 0.081 0.613 0.029
Dy: 0.338 0.937 0.358
Dy: 0.387 0.919 0.971
Dy: 0.487 0.487 0.822
Dy: 0.513 0.513 0.178
Dy: 0.613 0.081 0.029
Dy: 0.662 0.063 0.642
Dy: 0.919 0.387 0.971
Dy: 0.937 0.338 0.358
Dy: 0.949 0.949 0.326

***

VASP calculation (PBE-GGA) on a geometry-optimized Nd3SmDy5 structure.

V in Å³/cell: 596.83
Formation energy from the elements in kcal/mol of atoms: 1.9
Offset from the most stable computed form in meV per atom: 0.0

abc: 6.703 8.622 11.055
angles: 104.52 98.41 100.03
Fractional coordinates of all 18 atoms:
Nd: 0.000 0.000 0.000
Nd: 0.177 0.563 0.412
Nd: 0.321 0.436 0.085
Nd: 0.500 0.000 0.500
Nd: 0.679 0.564 0.915
Nd: 0.823 0.437 0.588
Sm: 0.440 0.249 0.315
Sm: 0.560 0.751 0.685
Dy: 0.046 0.895 0.631
Dy: 0.065 0.752 0.186
Dy: 0.190 0.663 0.860
Dy: 0.309 0.336 0.643
Dy: 0.453 0.107 0.869
Dy: 0.547 0.893 0.131
Dy: 0.691 0.664 0.357
Dy: 0.810 0.337 0.140
Dy: 0.935 0.248 0.814
Dy: 0.954 0.105 0.369

***

VASP calculation (PBE-GGA) on a geometry-optimized Nd4Sm4Dy structure.

V in Å³/cell: 307.33
Formation energy from the elements in kcal/mol of atoms: 0.3

abc: 8.145 8.145 8.145
angles: 95.73 95.73 143.16
Fractional coordinates of all 9 atoms:
Nd: 0.166 0.166 0.332
Nd: 0.166 0.834 0.000
Nd: 0.834 0.166 0.000
Nd: 0.834 0.834 0.668
Sm: 0.166 0.500 0.666
Sm: 0.500 0.166 0.666
Sm: 0.500 0.834 0.334
Sm: 0.834 0.500 0.334
Dy: 0.500 0.500 0.000

***

VASP calculation (PBE-GGA) on a geometry-optimized Nd3SmDy12 structure.

V in Å³/cell: 515.59
Formation energy from the elements in kcal/mol of atoms: 0.4

abc: 5.051 5.051 20.208
angles: 90.00 90.00 90.00
Fractional coordinates of all 16 atoms:
Nd: 0.000 0.000 0.000
Nd: 0.000 0.000 0.250
Nd: 0.000 0.000 0.750
Sm: 0.000 0.000 0.500
Dy: 0.000 0.500 0.125
Dy: 0.000 0.500 0.376
Dy: 0.000 0.500 0.624
Dy: 0.000 0.500 0.875
Dy: 0.500 0.000 0.125
Dy: 0.500 0.000 0.376
Dy: 0.500 0.000 0.624
Dy: 0.500 0.000 0.875
Dy: 0.500 0.500 0.000
Dy: 0.500 0.500 0.251
Dy: 0.500 0.500 0.500
Dy: 0.500 0.500 0.749

***

VASP calculation (PBE-GGA) on a geometry-optimized Nd2Sm3Dy3 structure.

V in Å³/cell: 542.08
Formation energy from the elements in kcal/mol of atoms: 3.0
Offset from the most stable computed form in meV per atom: 38.3

abc: 5.622 16.098 6.612
angles: 90.00 115.06 90.00
Fractional coordinates of all 16 atoms:
Nd: 0.220 0.128 0.440
Nd: 0.220 0.372 0.440
Nd: 0.780 0.628 0.560
Nd: 0.780 0.872 0.560
Sm: 0.077 0.593 0.154
Sm: 0.077 0.907 0.154
Sm: 0.265 0.750 0.530
Sm: 0.735 0.250 0.470
Sm: 0.923 0.093 0.846
Sm: 0.923 0.407 0.846
Dy: 0.381 0.550 0.763
Dy: 0.381 0.950 0.763
Dy: 0.459 0.250 0.918
Dy: 0.541 0.750 0.082
Dy: 0.619 0.050 0.237
Dy: 0.619 0.450 0.237